{"formula": "Sr3ZnSb2O9", "functional": "PBE", "state": "relaxed", "lattice_angstrom": [[5.723, 0.000, 0.000], [-2.862, 4.956, 0.000], [0.000, 0.000, 7.051]], "species": ["Sr", "Sr", "Sr", "Zn", "Sb", "Sb", "O", "O", "O", "O", "O", "O", "O", "O", "O"], "frac_coords": [[0.333, 0.667, 0.650], [0.000, 0.000, 0.000], [0.667, 0.333, 0.350], [0.000, 0.000, 0.500], [0.333, 0.667, 0.172], [0.667, 0.333, 0.828], [0.831, 0.169, 0.675], [0.831, 0.662, 0.675], [0.338, 0.169, 0.675], [0.662, 0.831, 0.325], [0.169, 0.338, 0.325], [0.169, 0.831, 0.325], [0.500, 0.000, 0.000], [0.000, 0.500, 0.000], [0.500, 0.500, 0.000]], "space_group": "P-3m1, No. 164", "raw_formation_energy_mev_per_atom": -2076, "magnetic_moment_mub_per_fu": 0.000, "final_energy_ev_per_atom": -6.022}